Computed, not measured: an optimized crystal structure of CrSbRh at the PBE level of DFT.

As for the volume: 16.51 Å³ per atom. The value obtained for the calculated density is 9.28 g cm⁻³. Its density of states at the Fermi level is 0.765 states/eV/atom. The uncorrected formation energy is 0.07 eV per formula unit.

It has space group C2/m (No. 12), with a = 8.5308 Å, b = 4.5285 Å, c = 5.1646 Å, α = 90.00°, β = 96.89° and γ = 90.00°. Symmetry generates all atoms from Cr at (0.0497, 0.0000, 0.1764), Sb at (0.1150, 0.5000, 0.7729) and Rh at (0.2282, 0.5000, 0.3012).

=====

Computed, not measured: an optimized crystal structure of NpO3F at the PBE level of DFT.

As for the volume: 17.52 Å³ per atom. The value obtained for the calculated density is 5.76 g cm⁻³. The uncorrected formation energy is -12.57 eV per formula unit.

It has space group C2/m (No. 12), with a = 9.6484 Å, b = 7.5640 Å, c = 6.4128 Å, α = 90.00°, β = 131.53° and γ = 90.00°. Symmetry generates all atoms from Np at (0.2387, 0.0000, 0.2387), O at (0.9997, 0.0000, 0.1863), O at (0.2454, 0.2645, 0.7455) and F at (0.0004, 0.5000, 0.2953).

=====

Computed, not measured: an optimized crystal structure of LaP2Ir at the PBE level of DFT.

As for the volume: 18.99 Å³ per atom. The value obtained for the calculated density is 8.59 g cm⁻³. Its density of states at the Fermi level is 0.900 states/eV/atom. Its formation energy is -15.9 kJ per mole of atoms.

It has space group I-4m2 (No. 119), with a = 4.0321 Å, b = 4.0321 Å, c = 9.3467 Å, α = 90.00°, β = 90.00° and γ = 90.00°. Symmetry generates all atoms from La at (0.0000, 0.0000, 0.0000), P at (0.0000, 0.0000, 0.5000), P at (0.0000, 0.5000, 0.7500) and Ir at (0.0000, 0.5000, 0.2500).

=====

Computed, not measured: an optimized crystal structure of Pm7NdDy3 at the PBE level of DFT.

The excess energy over the best structure of this formula in the dataset is 0.057 eV per atom. As for the volume: 35.48 Å³ per atom. The value obtained for the calculated density is 7.01 g cm⁻³. Its density of states at the Fermi level is 1.593 states/eV/atom. Its formation energy is 18.0 kJ per mole of atoms.

It has space group P3m1 (No. 156), with a = 7.2019 Å, b = 7.2019 Å, c = 8.6876 Å, α = 90.00°, β = 90.00° and γ = 120.00°. Symmetry generates all atoms from Pm at (0.0000, 0.0000, 0.0000), Pm at (0.0011, 0.5005, 0.0130), Pm at (0.3321, 0.1660, 0.6675), Nd at (0.3333, 0.6667, 0.6807) and Dy at (0.1665, 0.3330, 0.3398).

=====

Computed, not measured: an optimized crystal structure of Pa5AlIr5 at the PBE level of DFT.

As for the volume: 23.22 Å³ per atom. The value obtained for the calculated density is 13.93 g cm⁻³. Its density of states at the Fermi level is 1.255 states/eV/atom. Its formation energy is -53.2 kJ per mole of atoms.

It has space group C2/m (No. 12), with a = 12.1832 Å, b = 5.5308 Å, c = 8.0437 Å, α = 90.00°, β = 109.54° and γ = 90.00°. Symmetry generates all atoms from Pa at (0.0000, 0.0000, 0.0000), Pa at (0.1668, 0.5000, 0.3376), Pa at (0.1748, 0.5000, 0.8298), Al at (0.0000, 0.0000, 0.5000), Ir at (0.0000, 0.5000, 0.5000), Ir at (0.1525, 0.0000, 0.3312) and Ir at (0.1588, 0.0000, 0.8270).

=====

Computed, not measured: an optimized crystal structure of CdTcTe2I at the PBE level of DFT.

The excess energy over the best structure of this formula in the dataset is 0.738 eV per atom. As for the volume: 36.26 Å³ per atom. The value obtained for the calculated density is 5.43 g cm⁻³. Its density of states at the Fermi level is 0.783 states/eV/atom. The uncorrected formation energy is 5.52 eV per formula unit.

It has space group P4/mmm (No. 123), with a = 5.5803 Å, b = 5.5803 Å, c = 5.8221 Å, α = 90.00°, β = 90.00° and γ = 90.00°. Symmetry generates all atoms from Cd at (0.0000, 0.0000, 0.0000), Tc at (0.5000, 0.5000, 0.5000), Te at (0.0000, 0.5000, 0.0000) and I at (0.0000, 0.0000, 0.5000).

=====

Computed, not measured: an optimized crystal structure of PmMg6Cd2 at the PBE level of DFT.

As for the volume: 24.21 Å³ per atom. The value obtained for the calculated density is 3.93 g cm⁻³. Its density of states at the Fermi level is 0.536 states/eV/atom. Its formation energy is -9.8 kJ per mole of atoms.

It has space group P4/mmm (No. 123), with a = 4.4748 Å, b = 4.4748 Å, c = 10.8804 Å, α = 90.00°, β = 90.00° and γ = 90.00°. Symmetry generates all atoms from Pm at (0.0000, 0.0000, 0.0000), Mg at (0.0000, 0.0000, 0.5000), Mg at (0.0000, 0.5000, 0.2916), Mg at (0.5000, 0.5000, 0.5000) and Cd at (0.5000, 0.5000, 0.1262).

=====

Computed, not measured: an optimized crystal structure of NaTlAs3 at the PBE level of DFT.

The excess energy over the best structure of this formula in the dataset is 0.000 eV per atom. As for the volume: 31.15 Å³ per atom. The value obtained for the calculated density is 4.82 g cm⁻³. Its density of states at the Fermi level is 0.507 states/eV/atom. Its formation energy is 0.3 kJ per mole of atoms.

It has space group R3c (No. 161, hexagonal axes), with a = 5.9920 Å, b = 5.9920 Å, c = 30.0581 Å, α = 90.00°, β = 90.00° and γ = 120.00°. Symmetry generates all atoms from Na at (0.0000, 0.0000, 0.0000), Tl at (0.0000, 0.0000, 0.1893) and As at (0.0610, 0.2621, 0.0928).

=====

Computed, not measured: an optimized crystal structure of YOsBr at the PBE level of DFT.

The excess energy over the best structure of this formula in the dataset is 0.000 eV per atom. As for the volume: 28.13 Å³ per atom. The value obtained for the calculated density is 7.06 g cm⁻³. Its density of states at the Fermi level is 0.560 states/eV/atom. The uncorrected formation energy is -2.91 eV per formula unit.

It has space group R-3m (No. 166, hexagonal axes), with a = 4.1644 Å, b = 4.1644 Å, c = 33.7134 Å, α = 90.00°, β = 90.00° and γ = 120.00°. Symmetry generates all atoms from Y at (0.0000, 0.0000, 0.0603), Os at (0.0000, 0.0000, 0.3378) and Br at (0.0000, 0.0000, 0.2191).

=====

Computed, not measured: an optimized crystal structure of LaPmH at the PBE level of DFT.

The excess energy over the best structure of this formula in the dataset is 0.003 eV per atom. As for the volume: 24.33 Å³ per atom. The value obtained for the calculated density is 6.48 g cm⁻³. Its density of states at the Fermi level is 1.150 states/eV/atom.

It has space group P3m1 (No. 156), with a = 3.7440 Å, b = 3.7440 Å, c = 6.0113 Å, α = 90.00°, β = 90.00° and γ = 120.00°. Symmetry generates all atoms from La at (0.0000, 0.0000, 0.0000), Pm at (0.3333, 0.6667, 0.4785) and H at (0.6667, 0.3333, 0.2511).

=====

Computed, not measured: an optimized crystal structure of K3SrCd at the PBE level of DFT.

The excess energy over the best structure of this formula in the dataset is 0.352 eV per atom. As for the volume: 105.53 Å³ per atom. The value obtained for the calculated density is 1.00 g cm⁻³. Its density of states at the Fermi level is 0.948 states/eV/atom. Its formation energy is 49.0 kJ per mole of atoms.

It has space group Pm-3m (No. 221), with a = 8.0808 Å, b = 8.0808 Å, c = 8.0808 Å, α = 90.00°, β = 90.00° and γ = 90.00°. Symmetry generates all atoms from K at (0.0000, 0.0000, 0.5000), Sr at (0.0000, 0.0000, 0.0000) and Cd at (0.5000, 0.5000, 0.5000).

=====

Computed, not measured: an optimized crystal structure of SrAg9Hg2 at the PBE level of DFT.

As for the volume: 21.43 Å³ per atom. The value obtained for the calculated density is 9.42 g cm⁻³. Its density of states at the Fermi level is 0.335 states/eV/atom. Its formation energy is -4.9 kJ per mole of atoms.

It has space group R-3m (No. 166, hexagonal axes), with a = 5.7451 Å, b = 5.7451 Å, c = 26.9946 Å, α = 90.00°, β = 90.00° and γ = 120.00°. Symmetry generates all atoms from Sr at (0.0000, 0.0000, 0.0000), Ag at (0.0000, 0.0000, 0.3338), Ag at (0.0000, 0.0000, 0.5000), Ag at (0.0050, 0.5025, 0.9143) and Hg at (0.0000, 0.0000, 0.1424).